# Ca2PmPb5

Crystalline Ca2PmPb5 at its relaxed geometry (PBE-GGA, Alexandria).

Cell and atoms, written as CIF:
```
data_Ca2PmPb5
_chemical_formula_sum 'Ca4 Pm2 Pb10'
_cell_length_a 8.0466
_cell_length_b 8.0466
_cell_length_c 7.4972
_cell_angle_alpha 90.00
_cell_angle_beta 90.00
_cell_angle_gamma 90.00
_space_group_name_H-M_alt 'I 4 m m'
_space_group_IT_number 107
_space_group_name_Hall 'I 4 -2'
loop_
_atom_site_label
_atom_site_type_symbol
_atom_site_fract_x
_atom_site_fract_y
_atom_site_fract_z
Ca1 Ca 0.0000 0.5000 0.0000
Pm1 Pm 0.0000 0.0000 0.4992
Pb1 Pb 0.0000 0.0000 0.0002
Pb2 Pb 0.2503 0.2503 0.2499
```

## Properties
Energy (Ry/atom): -0.2797
Calculated formation energy (eV/f.u.): -3.1
Total moment (μB per formula unit): 0.00